[1]
First-principles (GGA-PBEsol) data for a geometry-optimized Sc4TcP structure, as listed in Alexandria.

The space group is F-43m (No. 216) and the conventional cell measures 7.6041, 7.6041 and 7.6041 Å, with angles of 90.00, 90.00 and 90.00 degrees. The inequivalent atoms are Sc at (0.1232, 0.1232, 0.3768), Tc at (0.2500, 0.2500, 0.7500) and P at (0.0000, 0.0000, 0.0000).

The crystal system is cubic. The calculation puts the calculated formation energy at 0.487 eV/atom.

***

[2]
First-principles (GGA-PBEsol) data for a geometry-optimized Sc3TcP structure, as listed in Alexandria.

The space group is Pm-3m (No. 221) and the conventional cell measures 4.8329, 4.8329 and 4.8329 Å, with angles of 90.00, 90.00 and 90.00 degrees. The inequivalent atoms are Sc at (0.0000, 0.0000, 0.5000), Tc at (0.0000, 0.0000, 0.0000) and P at (0.5000, 0.5000, 0.5000).

The crystal system is cubic. The calculation puts the calculated formation energy at 0.206 eV/atom.

***

[3]
First-principles (GGA-PBEsol) data for a geometry-optimized ScTe2P structure, as listed in Alexandria.

The space group is R-3m (No. 166, hexagonal axes) and the conventional cell measures 3.8257, 3.8257 and 26.5631 Å, with angles of 90.00, 90.00 and 120.00 degrees. The inequivalent atoms are Sc at (0.0000, 0.0000, 0.0000), Te at (0.0000, 0.0000, 0.4013) and P at (0.0000, 0.0000, 0.5000).

The uncorrected formation energy is -0.78 eV/f.u. The crystal system is trigonal.